# TiNb2Ga3

An optimized crystal structure of TiNb2Ga3 (PBE-GGA, Alexandria via LeMat-Bulk).

Cell: 7.6791 7.6791 5.5907 Å, 90.00 90.00 37.02°
With the nearest neighbours (Å) after each atom.
Atoms (fractional coordinates):
Ti1 0.0003 0.9997 0.2500  8 Ga 2.77-2.81, 2 Ti 2.80
Ti2 0.9997 0.0003 0.7500  8 Ga 2.77-2.81, 2 Ti 2.80
Nb1 0.3301 0.3320 0.7500  2 Nb 2.80, 8 Ga 2.80-2.83
Nb2 0.3320 0.3301 0.2500  2 Nb 2.80, 8 Ga 2.80-2.83
Nb3 0.6680 0.6699 0.7500  2 Nb 2.80, 8 Ga 2.80-2.83
Nb4 0.6699 0.6680 0.2500  2 Nb 2.80, 8 Ga 2.80-2.83
Ga1 0.1643 0.1643 0.0000  2 Ti 2.77, 2 Ga 2.80, 6 Nb 2.80-2.81
Ga2 0.1643 0.1643 0.5000  2 Ti 2.77, 2 Ga 2.80, 6 Nb 2.80-2.81
Ga3 0.5000 0.5000 0.0000  2 Ga 2.80, 4 Ti 2.81, 4 Nb 2.83
Ga4 0.5000 0.5000 0.5000  2 Ga 2.80, 4 Ti 2.81, 4 Nb 2.83
Ga5 0.8357 0.8357 0.0000  2 Ti 2.77, 2 Ga 2.80, 6 Nb 2.80-2.81
Ga6 0.8357 0.8357 0.5000  2 Ti 2.77, 2 Ga 2.80, 6 Nb 2.80-2.81

## Properties
The formation energy comes out at -205 meV per atom. The space group is Cmcm. The size of the total moment is 0.00 μB per formula unit. The calculation puts the density of states at the Fermi level at 12.0 states/eV/cell. The total energy comes out at -6.39 eV/atom.



# LiCrPt

An optimized crystal structure of LiCrPt (PBE-GGA, Alexandria via LeMat-Bulk).

Cell: 7.1958 7.1958 2.7062 Å, 92.46 92.46 143.32°
With the nearest neighbours (Å) after each atom.
Atoms (fractional coordinates):
Li1 0.1935 0.8065 0.0000  6 Pt 2.60-2.91, 4 Li 2.71-2.74, 2 Cr 2.82
Li2 0.8065 0.1935 0.0000  6 Pt 2.60-2.91, 4 Li 2.71-2.74, 2 Cr 2.82
Cr1 0.2032 0.2032 0.9096  1 Cr 1.97
Cr2 0.7968 0.7968 0.0904  1 Cr 1.97
Pt1 0.3659 0.6341 0.5000  6 Li 2.60-2.91, 4 Cr 2.61-2.67, 2 Pt 2.71
Pt2 0.6341 0.3659 0.5000  6 Li 2.60-2.91, 4 Cr 2.61-2.67, 2 Pt 2.71

## Properties
The formation energy comes out at -194 meV per atom. The space group is C2/m. The size of the total moment is 0.00 μB per formula unit. The calculation puts the density of states at the Fermi level at 3.4 states/eV/cell. The total energy comes out at -6.05 eV/atom. The relative energy among the computed polymorphs is 47.2 meV/atom.



# TlZn2H

An optimized crystal structure of TlZn2H (PBE-GGA, Alexandria via LeMat-Bulk).

Cell: 4.6566 4.6566 4.6566 Å, 60.00 60.00 60.00°
With the nearest neighbours (Å) after each atom.
Atoms (fractional coordinates):
Tl1 0.0000 0.0000 0.0000  8 Zn 2.85
Zn1 0.2500 0.2500 0.2500  4 H 2.85, 4 Tl 2.85
Zn2 0.7500 0.7500 0.7500  4 H 2.85, 4 Tl 2.85
H1 0.5000 0.5000 0.5000  8 Zn 2.85

## Properties
The space group is Fm-3m. The size of the total moment is 0.00 μB per formula unit. The calculation puts the density of states at the Fermi level at 1.3 states/eV/cell. The total energy comes out at -1.45 eV/atom. The relative energy among the computed polymorphs is 317.9 meV/atom.



# Y6Ho2Pu

An optimized crystal structure of Y6Ho2Pu (PBE-GGA, Alexandria via LeMat-Bulk).

Cell: 7.6270 7.6270 7.6270 Å, 57.31 57.31 57.31°
With the nearest neighbours (Å) after each atom.
Atoms (fractional coordinates):
Y1 0.1702 0.1702 0.6597  1 Pu 3.01
Y2 0.1702 0.6597 0.1702  1 Pu 3.01
Y3 0.3748 0.3748 0.8282  1 Pu 2.79
Y4 0.3748 0.8282 0.3748  1 Pu 2.79
Y5 0.6597 0.1702 0.1702  1 Pu 3.01
Y6 0.8282 0.3748 0.3748  1 Pu 2.79
Ho1 0.6745 0.6745 0.6745  1 Ho 3.38, 9 Y 3.42-3.66
Ho2 0.8517 0.8517 0.8517  1 Ho 3.38, 9 Y 3.55-3.67
Pu1 0.1104 0.1104 0.1104  6 Y 2.79-3.01

## Properties
The formation energy comes out at 345 meV per atom. The space group is R3m. The size of the total moment is 4.42 μB per formula unit. The calculation puts the density of states at the Fermi level at 12.6 states/eV/cell. The total energy comes out at -6.57 eV/atom.



# InMo2PdRu

An optimized crystal structure of InMo2PdRu (PBE-GGA, Alexandria via LeMat-Bulk).

Cell: 4.6729 4.6729 5.0027 Å, 90.00 90.00 90.00°
With the nearest neighbours (Å) after each atom.
Atoms (fractional coordinates):
In1 0.0000 0.0000 0.0000  2 Ru 2.50
Mo1 0.0000 0.5000 0.5000  2 Ru 2.34
Mo2 0.5000 0.0000 0.5000  2 Ru 2.34
Pd1 0.5000 0.5000 0.0000  4 In 3.30, 8 Mo 3.42
Ru1 0.0000 0.0000 0.5000  4 Mo 2.34, 2 In 2.50

## Properties
The formation energy comes out at 1267 meV per atom. The space group is P4/mmm. The size of the total moment is 2.14 μB per formula unit. The calculation puts the density of states at the Fermi level at 4.7 states/eV/cell. The total energy comes out at -6.51 eV/atom.



# GaAg3Cl2F6

An optimized crystal structure of GaAg3Cl2F6 (PBE-GGA, Alexandria via LeMat-Bulk).

Cell: 6.8474 6.8474 5.1377 Å, 93.12 93.12 56.29°
With the nearest neighbours (Å) after each atom.
Atoms (fractional coordinates):
Ga1 0.0000 0.0000 0.0000  6 F 1.88-1.98
Ag1 0.0000 0.5000 0.0000  4 F 2.34-2.50, 2 Cl 2.46
Ag2 0.5000 0.0000 0.0000  4 F 2.34-2.50, 2 Cl 2.46
Ag3 0.5000 0.5000 0.5000  2 Cl 2.46, 4 F 2.49
Cl1 0.3171 0.3171 0.6840  3 Ag 2.46
Cl2 0.6829 0.6829 0.3160  3 Ag 2.46
F1 0.1297 0.1297 0.2221  1 Ga 1.88
F2 0.1502 0.7084 0.1988  1 Ga 1.98
F3 0.2916 0.8498 0.8012  1 Ga 1.98
F4 0.7084 0.1502 0.1988  1 Ga 1.98
F5 0.8498 0.2916 0.8012  1 Ga 1.98
F6 0.8703 0.8703 0.7779  1 Ga 1.88

## Properties
The space group is C2/m. For the formation energy from raw total energies, the calculation gives -16.7 eV per formula unit. The size of the total moment is 0.78 μB per formula unit. The calculation puts the density of states at the Fermi level at 7.4 states/eV/cell. The total energy comes out at -3.60 eV/atom.